The following is a DFT calculation (PBE-GGA) of a relaxed structure of Nd8CuNi2.

Energy relative to the elements   -114.4 meV per atom
Energy above the lowest structure with this stoichiometry   0.00 eV/f.u.
Calculated total energy   -5.01 eV per atom
Size of the total moment   0.000 μB per atom

a = 5.1952 Å, b = 6.7663 Å, c = 9.5026 Å
α = 107.85°, β = 105.86°, γ = 90.00°
Closest atoms and distances in Å follow each position.
Sites, in units of the cell vectors:
Nd1 0.1984 0.3485 0.3969  1 Ni 2.83
Nd2 0.9675 0.2090 0.9350  1 Ni 2.68
Nd3 0.0325 0.7910 0.0650  1 Ni 2.68
Nd4 0.4076 0.5291 0.8153  1 Cu 3.09, 2 Ni 3.23, 1 Nd 3.45
Nd5 0.6776 0.0057 0.3551  1 Ni 2.75
Nd6 0.5924 0.4709 0.1847  1 Cu 3.09, 2 Ni 3.23, 1 Nd 3.45
Nd7 0.3224 0.9943 0.6449  1 Ni 2.75
Nd8 0.8016 0.6515 0.6031  1 Ni 2.83
Ni1 0.8282 0.2622 0.6565  3 Nd 2.68-2.83
Ni2 0.1718 0.7378 0.3435  3 Nd 2.68-2.83
Cu1 0.5000 0.0000 0.0000  8 Nd 3.09-3.23

---

The following is a DFT calculation (PBE-GGA) of a relaxed structure of Ac2PmAg4.

Energy relative to the elements   -102.8 meV per atom
Calculated total energy   -3.58 eV per atom
Size of the total moment   0.000 μB per atom

a = 5.6880 Å, b = 5.6880 Å, c = 7.6994 Å
α = 111.68°, β = 111.68°, γ = 90.00°
Closest atoms and distances in Å follow each position.
Sites, in units of the cell vectors:
Ac1 0.7143 0.7143 0.4286  4 Ag 3.16
Ac2 0.2857 0.2857 0.5714  4 Ag 3.16
Ag1 0.3899 0.8899 0.7797  1 Ag 2.89, 2 Ac 3.16, 2 Pm 3.19
Ag2 0.1101 0.6101 0.2203  1 Ag 2.89, 2 Ac 3.16, 2 Pm 3.19
Ag3 0.8899 0.3899 0.7797  1 Ag 2.89, 2 Ac 3.16, 2 Pm 3.19
Ag4 0.6101 0.1101 0.2203  1 Ag 2.89, 2 Ac 3.16, 2 Pm 3.19
Pm1 0.0000 0.0000 0.0000  8 Ag 3.19